# 1
The following is a PBE-GGA calculation of a relaxed structure of Tb2GdZn, from Alexandria via LeMat-Bulk.

a = 5.349 Å, b = 5.349 Å, c = 3.784 Å
α = 90.00°, β = 90.00°, γ = 90.00°
Space group P4/mmm (No. 123)
Symmetry-distinct sites (fractional):
Tb 0.000 0.500 0.000 [2 per cell]
Gd 0.000 0.000 0.500 [1 per cell]
Zn 0.500 0.500 0.500 [1 per cell]

Output
ΔE_f: 0.00 eV per atom
Relative energy among the computed polymorphs: 155 meV per atom

# 2
The following is a PBE-GGA calculation of a relaxed structure of Re3Cl, from Alexandria via LeMat-Bulk.

a = 3.953 Å, b = 3.953 Å, c = 3.953 Å
α = 90.00°, β = 90.00°, γ = 90.00°
Space group Pm-3m (No. 221)
Symmetry-distinct sites (fractional):
Re 0.000 0.000 0.500 [3 per cell]
Cl 0.500 0.500 0.500 [1 per cell]

Output
Relative energy among the computed polymorphs: 1267 meV per atom
Raw formation energy: 1.6849 eV per atom

# 3
The following is a PBE-GGA calculation of a relaxed structure of ZnOsPb2, from Alexandria via LeMat-Bulk.

a = 4.613 Å, b = 3.632 Å, c = 10.141 Å
α = 90.00°, β = 90.00°, γ = 90.00°
Space group Amm2 (No. 38)
Symmetry-distinct sites (fractional):
Zn 0.000 0.000 0.000 [2 per cell]
Os 0.500 0.000 0.127 [2 per cell]
Pb 0.000 0.000 0.721 [2 per cell]
Pb 0.500 0.000 0.411 [2 per cell]

Output
ΔE_f: 0.50 eV per atom

# 4
The following is a PBE-GGA calculation of a relaxed structure of CuRhSe2, from Alexandria via LeMat-Bulk.

a = 6.517 Å, b = 3.758 Å, c = 7.344 Å
α = 90.00°, β = 107.50°, γ = 90.00°
Space group P2_1/m (No. 11)
Symmetry-distinct sites (fractional):
Cu 0.154 0.250 0.005 [2 per cell]
Rh 0.250 0.750 0.513 [2 per cell]
Se 0.133 0.250 0.685 [2 per cell]
Se 0.344 0.250 0.326 [2 per cell]

Output
Raw formation energy: -0.2488 eV per atom

# 5
The following is a PBE-GGA calculation of a relaxed structure of Mn4PbBr, from Alexandria via LeMat-Bulk.

a = 7.735 Å, b = 7.735 Å, c = 7.735 Å
α = 90.00°, β = 90.00°, γ = 90.00°
Space group F-43m (No. 216)
Symmetry-distinct sites (fractional):
Mn 0.123 0.123 0.123 [16 per cell]
Pb 0.250 0.250 0.750 [4 per cell]
Br 0.000 0.000 0.500 [4 per cell]

Output
Raw formation energy: 0.5958 eV per atom

# 6
The following is a PBE-GGA calculation of a relaxed structure of Ho2AsPd, from Alexandria via LeMat-Bulk.

a = 4.0547 Å, b = 4.0547 Å, c = 20.4492 Å
α = 90.00°, β = 90.00°, γ = 120.00°
Space group R-3m (No. 166, hexagonal axes)
Symmetry-distinct sites (fractional):
Ho 0.0000 0.0000 0.2502 [6 per cell]
As 0.0000 0.0000 0.0000 [3 per cell]
Pd 0.0000 0.0000 0.5000 [3 per cell]

Output
ΔE_f: -1.04 eV per atom